No. 1
VASP calculation (PBE) on crystalline Cs2TlAuF at its relaxed geometry.

- Crystal system: tetragonal
- Formation energy (no corrections): -0.9486 eV/atom
- Total moment: 0.0 μB per cell

a = 5.8321 Å, b = 5.8321 Å, c = 5.4697 Å
α = 90.00°, β = 90.00°, γ = 90.00°
Closest atoms and distances in Å follow each position.
Sites, in units of the cell vectors:
F (0.0000, 0.0000, 0.0000)  2 Tl 2.73, 4 Cs 2.92
Cs (0.0000, 0.5000, 0.0000)  2 F 2.92
Cs (0.5000, 0.0000, 0.0000)  2 F 2.92
Au (0.5000, 0.5000, 0.5000)  8 Cs 4.00, 4 Tl 4.12
Tl (0.0000, 0.0000, 0.5000)  2 F 2.73

---

No. 2
VASP calculation (PBE) on crystalline Ca3PbC4O12 at its relaxed geometry.

- Crystal system: trigonal
- Formation energy (no corrections): -2.0427 eV/atom
- Total moment: 0.0 μB per cell

a = 6.6368 Å, b = 6.6368 Å, c = 6.6368 Å
α = 101.71°, β = 101.71°, γ = 101.71°
Closest atoms and distances in Å follow each position.
Sites, in units of the cell vectors:
O (0.0236, 0.6166, 0.8317)  1 C 1.30
O (0.0930, 0.9070, 0.5000)  1 C 1.30
O (0.5000, 0.0930, 0.9070)  1 C 1.30
O (0.1683, 0.3834, 0.9764)  1 C 1.30
O (0.3834, 0.9764, 0.1683)  1 C 1.30
O (0.5000, 0.3738, 0.6262)  1 C 1.30
O (0.6166, 0.8317, 0.0236)  1 C 1.30
O (0.9764, 0.1683, 0.3834)  1 C 1.30
O (0.3738, 0.6262, 0.5000)  1 C 1.30
O (0.6262, 0.5000, 0.3738)  1 C 1.30
O (0.9070, 0.5000, 0.0930)  1 C 1.30
O (0.8317, 0.0236, 0.6166)  1 C 1.30
Pb (0.0000, 0.0000, 0.0000)  6 O 2.61
C (0.5000, 0.5000, 0.5000)  3 O 1.30
C (0.0331, 0.5000, 0.9669)  3 O 1.30
C (0.5000, 0.9669, 0.0331)  3 O 1.30
C (0.9669, 0.0331, 0.5000)  3 O 1.30
Ca (0.0000, 0.5330, 0.4670)  6 O 2.34-2.39
Ca (0.4670, 0.0000, 0.5330)  6 O 2.34-2.39
Ca (0.5330, 0.4670, 0.0000)  6 O 2.34-2.39

---

No. 3
VASP calculation (PBE) on crystalline CaAcCu2H6 at its relaxed geometry.

- Crystal system: trigonal
- Total energy: -3.7327 eV/atom
- Total moment: 0.0 μB per cell

a = 4.9041 Å, b = 4.9041 Å, c = 6.7637 Å
α = 68.74°, β = 68.74°, γ = 60.00°
Closest atoms and distances in Å follow each position.
Sites, in units of the cell vectors:
H (0.9069, 0.4464, 0.2008)  1 Cu 1.59
H (0.0931, 0.5536, 0.7992)  1 Cu 1.59
H (0.4459, 0.9069, 0.2008)  1 Cu 1.59
H (0.5536, 0.5541, 0.7992)  1 Cu 1.59
H (0.5541, 0.0931, 0.7992)  1 Cu 1.59
H (0.4464, 0.4459, 0.2008)  1 Cu 1.59
Ac (0.0000, 0.0000, 0.0000)  12 H 2.75
Cu (0.7568, 0.7568, 0.7296)  3 H 1.59
Cu (0.2432, 0.2432, 0.2704)  3 H 1.59
Ca (0.5000, 0.5000, 0.5000)  6 H 2.25

---

No. 4
VASP calculation (PBE) on crystalline Sr2PmAs3Pt12 at its relaxed geometry.

- Crystal system: trigonal
- Total moment: 0.0 μB per cell
- Energy of formation: -19.1 kJ per mole of atoms

a = 7.9152 Å, b = 7.9152 Å, c = 7.9152 Å
α = 65.39°, β = 65.39°, γ = 65.39°
Closest atoms and distances in Å follow each position.
Sites, in units of the cell vectors:
Pt (0.8995, 0.3482, 0.3482)  2 As 2.43
Pt (0.3482, 0.3482, 0.8995)  2 As 2.43
Pt (0.8568, 0.3970, 0.8568)  1 As 2.42
Pt (0.8568, 0.8568, 0.3970)  1 As 2.42
Pt (0.1005, 0.6518, 0.6518)  2 As 2.43
Pt (0.1432, 0.1432, 0.6030)  1 As 2.42
Pt (0.1432, 0.6030, 0.1432)  1 As 2.42
Pt (0.3482, 0.8995, 0.3482)  2 As 2.43
Pt (0.6518, 0.6518, 0.1005)  2 As 2.43
Pt (0.6518, 0.1005, 0.6518)  2 As 2.43
Pt (0.3970, 0.8568, 0.8568)  1 As 2.42
Pt (0.6030, 0.1432, 0.1432)  1 As 2.42
As (0.5000, 0.0000, 0.0000)  6 Pt 2.42-2.43
As (0.0000, 0.0000, 0.5000)  6 Pt 2.42-2.43
As (0.0000, 0.5000, 0.0000)  6 Pt 2.42-2.43
Sr (0.5990, 0.5990, 0.5990)  6 Pt 2.99
Sr (0.4010, 0.4010, 0.4010)  6 Pt 2.99
Pm (0.0000, 0.0000, 0.0000)  6 Pt 2.75

---

No. 5
VASP calculation (PBE) on crystalline SmGd2Cu at its relaxed geometry.

- Crystal system: tetragonal
- Total moment: 14.6 μB per cell
- Excess energy over the best structure of this formula in the dataset: 0.0000 eV/atom
- Energy of formation: -7.9 kJ per mole of atoms

a = 3.5465 Å, b = 3.5465 Å, c = 8.7197 Å
α = 90.00°, β = 90.00°, γ = 90.00°
Closest atoms and distances in Å follow each position.
Sites, in units of the cell vectors:
Sm (0.5000, 0.5000, 0.5000)  4 Sm 3.55, 8 Gd 3.64
Gd (0.0000, 0.0000, 0.1971)  4 Cu 3.04
Gd (0.0000, 0.0000, 0.8029)  4 Cu 3.04
Cu (0.5000, 0.5000, 0.0000)  8 Gd 3.04

---

No. 6
VASP calculation (PBE) on crystalline Cs4GaSn3I12 at its relaxed geometry.

- Crystal system: cubic
- Formation energy (no corrections): -0.9135 eV/atom
- Total moment: 0.0 μB per cell

a = 10.7158 Å, b = 10.7158 Å, c = 10.7158 Å
α = 109.47°, β = 109.47°, γ = 109.47°
Closest atoms and distances in Å follow each position.
Sites, in units of the cell vectors:
Sn (0.0000, 0.5000, 0.5000)  6 I 3.09-3.14
Sn (0.5000, 0.5000, 0.0000)  6 I 3.09-3.14
Sn (0.5000, 0.0000, 0.5000)  6 I 3.09-3.14
I (0.2500, 0.7500, 0.5000)  2 Sn 3.09
I (0.2466, 0.0000, 0.2466)  1 Ga 3.05, 1 Sn 3.14
I (0.7534, 0.7534, 0.0000)  1 Ga 3.05, 1 Sn 3.14
I (0.7534, 0.0000, 0.7534)  1 Ga 3.05, 1 Sn 3.14
I (0.5000, 0.2500, 0.7500)  2 Sn 3.09
I (0.0000, 0.2466, 0.2466)  1 Ga 3.05, 1 Sn 3.14
I (0.7500, 0.2500, 0.5000)  2 Sn 3.09
I (0.7500, 0.5000, 0.2500)  2 Sn 3.09
I (0.2500, 0.5000, 0.7500)  2 Sn 3.09
I (0.5000, 0.7500, 0.2500)  2 Sn 3.09
I (0.2466, 0.2466, 0.0000)  1 Ga 3.05, 1 Sn 3.14
I (0.0000, 0.7534, 0.7534)  1 Ga 3.05, 1 Sn 3.14
Cs (0.5000, 0.0000, 0.0000)  12 I 4.37
Cs (0.0000, 0.5000, 0.0000)  12 I 4.37
Cs (0.5000, 0.5000, 0.5000)  12 I 4.37
Cs (0.0000, 0.0000, 0.5000)  12 I 4.37
Ga (0.0000, 0.0000, 0.0000)  6 I 3.05